CsScO2 | GGA-PBEsol | relaxed

Cell lengths 6.094, 6.094, 8.700 Å; angles 90.00, 90.00, 90.00 degrees
Positions (direct):
Cs: 0.000 0.000 0.000
Cs: 0.000 0.500 0.250
Cs: 0.500 0.000 0.750
Cs: 0.500 0.500 0.500
Sc: 0.000 0.000 0.500
Sc: 0.000 0.500 0.750
Sc: 0.500 0.000 0.250
Sc: 0.500 0.500 0.000
O: 0.104 0.250 0.625
O: 0.250 0.604 0.875
O: 0.250 0.896 0.375
O: 0.396 0.250 0.125
O: 0.604 0.750 0.125
O: 0.750 0.104 0.375
O: 0.750 0.396 0.875
O: 0.896 0.750 0.625


Cs3ScO3 | GGA-PBEsol | relaxed

Values from the calculation:
polymorph energy (0 for the lowest one) = 0.0 meV per atom

Cell lengths 7.235, 7.235, 7.366 Å; angles 96.72, 96.72, 115.79 degrees
Positions (direct):
Cs: 0.207 0.793 0.000
Cs: 0.263 0.737 0.500
Cs: 0.362 0.362 0.152
Cs: 0.638 0.638 0.848
Cs: 0.737 0.263 0.500
Cs: 0.793 0.207 0.000
Sc: 0.163 0.163 0.651
Sc: 0.837 0.837 0.349
O: 0.103 0.103 0.367
O: 0.153 0.416 0.768
O: 0.416 0.153 0.768
O: 0.584 0.847 0.232
O: 0.847 0.584 0.232
O: 0.897 0.897 0.633


no.,spin magnetization (μB per formula unit),formation energy (no corrections) (eV per atom)
1,0.0,-2.71
2,0.0,-2.03